[1]
Entry from Alexandria: a geometry-optimized Mn2IrWC structure (GGA-PBE).

Properties
- Spin magnetization: 1.029 μB/cell
- Formation energy from the elements: 22 meV/atom
- E: -9.8533 eV per atom

The structure in CIF format:
```
data_Mn2IrWC
_cell_length_a 3.821
_cell_length_b 3.821
_cell_length_c 4.095
_cell_angle_alpha 90.00
_cell_angle_beta 90.00
_cell_angle_gamma 90.00
_symmetry_space_group_name_H-M 'P 4/m m m'
_symmetry_Int_Tables_number 123
_symmetry_space_group_name_Hall '-P 4 2'
loop_
_atom_site_label
_atom_site_fract_x
_atom_site_fract_y
_atom_site_fract_z
_atom_site_occupancy
Mn1 0.000 0.500 0.000 1
Ir1 0.000 0.000 0.500 1
W1 0.500 0.500 0.500 1
C1 0.500 0.500 0.000 1
```

[2]
Entry from Alexandria: a geometry-optimized K12CdAu7 structure (GGA-PBE).

Properties
- Spin magnetization: 0.000 μB/cell
- Formation energy from the elements: -184 meV/atom
- E: -2.0351 eV per atom

The structure in CIF format:
```
data_K12CdAu7
_cell_length_a 14.6711
_cell_length_b 14.6711
_cell_length_c 13.7123
_cell_angle_alpha 90.00
_cell_angle_beta 90.00
_cell_angle_gamma 120.00
_symmetry_space_group_name_H-M 'R -3'
_symmetry_Int_Tables_number 148
_symmetry_space_group_name_Hall '-R 3'
loop_
_atom_site_label
_atom_site_fract_x
_atom_site_fract_y
_atom_site_fract_z
_atom_site_occupancy
K1 0.0343 0.2105 0.1447 1
K2 0.0516 0.2231 0.6279 1
Cd1 0.0000 0.0000 0.5000 1
Au1 0.0000 0.0000 0.0000 1
Au2 0.0604 0.4610 0.0546 1
```

[3]
Entry from Alexandria: a geometry-optimized AcNd5Dy2Ho structure (GGA-PBE).

Properties
- Spin magnetization: 0.000 μB/cell
- Formation energy from the elements: 142 meV/atom
- E: -4.4944 eV per atom

The structure in CIF format:
```
data_AcNd5Dy2Ho
_cell_length_a 5.580
_cell_length_b 24.508
_cell_length_c 9.506
_cell_angle_alpha 90.00
_cell_angle_beta 90.00
_cell_angle_gamma 90.00
_symmetry_space_group_name_H-M 'C m c 21'
_symmetry_Int_Tables_number 36
_symmetry_space_group_name_Hall 'C 2c -2'
loop_
_atom_site_label
_atom_site_fract_x
_atom_site_fract_y
_atom_site_fract_z
_atom_site_occupancy
Ac1 0.000 0.102 0.000 1
Nd1 0.000 0.024 0.327 1
Nd2 0.000 0.106 0.604 1
Nd3 0.000 0.190 0.296 1
Nd4 0.000 0.241 0.935 1
Nd5 0.000 0.490 0.109 1
Dy1 0.000 0.326 0.250 1
Dy2 0.000 0.388 0.856 1
Ho1 0.000 0.263 0.608 1
```

[4]
Entry from Alexandria: a geometry-optimized Y2IrPb structure (GGA-PBE).

Properties
- Spin magnetization: 0.000 μB/cell
- Formation energy from the elements: -388 meV/atom
- E: -6.7622 eV per atom

The structure in CIF format:
```
data_Y2IrPb
_cell_length_a 4.302
_cell_length_b 4.302
_cell_length_c 10.289
_cell_angle_alpha 90.00
_cell_angle_beta 90.00
_cell_angle_gamma 90.00
_symmetry_space_group_name_H-M 'I -4 m 2'
_symmetry_Int_Tables_number 119
_symmetry_space_group_name_Hall 'I -4 -2'
loop_
_atom_site_label
_atom_site_fract_x
_atom_site_fract_y
_atom_site_fract_z
_atom_site_occupancy
Y1 0.000 0.000 0.000 1
Y2 0.000 0.500 0.250 1
Ir1 0.000 0.500 0.750 1
Pb1 0.000 0.000 0.500 1
```

[5]
Entry from Alexandria: a geometry-optimized ZnNiP structure (GGA-PBE).

Properties
- Spin magnetization: 0.000 μB/cell
- Formation energy from the elements: -199 meV/atom
- E: -4.3537 eV per atom

The structure in CIF format:
```
data_ZnNiP
_cell_length_a 2.767
_cell_length_b 2.767
_cell_length_c 5.404
_cell_angle_alpha 90.00
_cell_angle_beta 90.00
_cell_angle_gamma 90.00
_symmetry_space_group_name_H-M 'P 4 m m'
_symmetry_Int_Tables_number 99
_symmetry_space_group_name_Hall 'P 4 -2'
loop_
_atom_site_label
_atom_site_fract_x
_atom_site_fract_y
_atom_site_fract_z
_atom_site_occupancy
Zn1 0.000 0.000 0.000 1
Ni1 0.500 0.500 0.672 1
P1 0.000 0.000 0.449 1
```

[6]
Entry from Alexandria: a geometry-optimized DyBeF5 structure (GGA-PBE).

Properties
- Spin magnetization: 0.002 μB/cell
- Energy relative to the elements, uncorrected: -3.76 eV per atom
- E: -6.2839 eV per atom

The structure in CIF format:
```
data_DyBeF5
_cell_length_a 8.093
_cell_length_b 7.868
_cell_length_c 8.149
_cell_angle_alpha 90.00
_cell_angle_beta 118.11
_cell_angle_gamma 90.00
_symmetry_space_group_name_H-M 'C 1 2/c 1'
_symmetry_Int_Tables_number 15
_symmetry_space_group_name_Hall '-C 2yc'
loop_
_atom_site_label
_atom_site_fract_x
_atom_site_fract_y
_atom_site_fract_z
_atom_site_occupancy
Dy1 0.250 0.250 0.000 1
Be1 0.000 0.126 0.250 1
F1 0.000 0.333 0.750 1
F2 0.088 0.237 0.152 1
F3 0.156 0.009 0.399 1
```

[7]
Entry from Alexandria: a geometry-optimized USi2OsPt structure (GGA-PBE).

Properties
- Spin magnetization: 8.589 μB/cell
- Energy relative to the elements, uncorrected: -0.39 eV per atom
- E: -8.2677 eV per atom

The structure in CIF format:
```
data_USi2OsPt
_cell_length_a 4.237
_cell_length_b 13.248
_cell_length_c 6.263
_cell_angle_alpha 90.00
_cell_angle_beta 90.00
_cell_angle_gamma 90.00
_symmetry_space_group_name_H-M 'C m c m'
_symmetry_Int_Tables_number 63
_symmetry_space_group_name_Hall '-C 2c 2'
loop_
_atom_site_label
_atom_site_fract_x
_atom_site_fract_y
_atom_site_fract_z
_atom_site_occupancy
U1 0.000 0.102 0.250 1
Si1 0.000 0.317 0.048 1
Os1 0.000 0.200 0.750 1
Pt1 0.000 0.500 0.000 1
```

[8]
Entry from Alexandria: a geometry-optimized Tb8Er3Th2 structure (GGA-PBE).

Properties
- Spin magnetization: 0.000 μB/cell
- Formation energy from the elements: 156 meV/atom
- E above lowest polymorph: 0.000 eV/atom
- E: -4.8881 eV per atom

The structure in CIF format:
```
data_Tb8Er3Th2
_cell_length_a 6.629
_cell_length_b 17.453
_cell_length_c 7.654
_cell_angle_alpha 90.00
_cell_angle_beta 106.64
_cell_angle_gamma 90.00
_symmetry_space_group_name_H-M 'P 1 21/c 1'
_symmetry_Int_Tables_number 14
_symmetry_space_group_name_Hall '-P 2ybc'
loop_
_atom_site_label
_atom_site_fract_x
_atom_site_fract_y
_atom_site_fract_z
_atom_site_occupancy
Tb1 0.084 0.072 0.150 1
Tb2 0.134 0.081 0.631 1
Tb3 0.354 0.238 0.965 1
Tb4 0.360 0.614 0.174 1
Er1 0.103 0.746 0.400 1
Er2 0.500 0.000 0.000 1
Th1 0.341 0.612 0.751 1
```